(1)
{"formula": "AlCd2Re", "functional": "PBE", "state": "optimized geometry", "lattice_angstrom": [[-0.055, 1.404, -2.425], [-0.764, -2.696, -0.025], [-10.351, 2.916, 1.922]], "species": ["Re", "Al", "Cd", "Cd"], "fractional_positions": [[0.500, 0.500, 0.250], [0.500, 0.500, 0.750], [0.000, 0.000, 0.017], [0.000, 0.000, 0.483]], "magnetic_moment_mub_per_cell": 0.0, "dos_ef_per_ev_atom": 0.586, "crystal_system": "orthorhombic", "spacegroup": "Cmmm (65)", "energy_ry_per_atom": -0.295}

---

(2)
{"formula": "Nb2Si2As", "functional": "PBE", "state": "optimized geometry", "lattice_angstrom": [[6.928, 0.000, 0.000], [0.000, 6.928, 0.000], [0.000, 0.000, 3.517]], "species": ["Nb", "Nb", "Nb", "Nb", "Si", "Si", "Si", "Si", "As", "As"], "fractional_positions": [[0.336, 0.836, 0.000], [0.836, 0.664, 0.000], [0.664, 0.164, 0.000], [0.164, 0.336, 0.000], [0.128, 0.628, 0.500], [0.628, 0.872, 0.500], [0.872, 0.372, 0.500], [0.372, 0.128, 0.500], [0.000, 0.000, 0.000], [0.500, 0.500, 0.000]], "magnetic_moment_mub_per_cell": 0.0, "dos_ef_per_ev_atom": 0.563, "crystal_system": "tetragonal", "spacegroup": "P4/mbm (127)", "energy_ry_per_atom": -0.548}

---

(3)
{"formula": "PbI3Br", "functional": "PBE", "state": "optimized geometry", "lattice_angstrom": [[6.194, 0.000, 0.000], [0.000, 6.194, 0.000], [0.000, 0.000, 6.194]], "species": ["Pb", "I", "I", "I", "Br"], "fractional_positions": [[0.000, 0.000, 0.000], [0.000, 0.500, 0.000], [0.000, 0.000, 0.500], [0.500, 0.000, 0.000], [0.500, 0.500, 0.500]], "magnetic_moment_mub_per_cell": 1.7, "e_above_lowest_polymorph_ev_per_atom": 0.0000, "dos_ef_per_ev_atom": 2.084, "crystal_system": "cubic", "spacegroup": "Pm-3m (221)", "energy_ry_per_atom": -0.144}

---

(4)
{"formula": "Nd5Ag4Sn", "functional": "PBE", "state": "optimized geometry", "lattice_angstrom": [[-2.381, 1.231, 2.559], [-1.897, -3.175, -0.238], [11.188, -7.746, 14.136]], "species": ["Nd", "Nd", "Nd", "Nd", "Nd", "Ag", "Ag", "Ag", "Ag", "Sn"], "fractional_positions": [[0.500, 0.500, 0.106], [0.500, 0.500, 0.304], [0.500, 0.500, 0.500], [0.500, 0.500, 0.696], [0.500, 0.500, 0.894], [0.000, 0.000, 0.209], [0.000, 0.000, 0.401], [0.000, 0.000, 0.599], [0.000, 0.000, 0.791], [0.000, 0.000, 0.000]], "magnetic_moment_mub_per_cell": 0.0, "dos_ef_per_ev_atom": 1.027, "crystal_system": "tetragonal", "spacegroup": "P4/mmm (123)", "energy_ry_per_atom": -0.313}

---

(5)
{"formula": "NdHo6In", "functional": "PBE", "state": "optimized geometry", "lattice_angstrom": [[6.421, -0.752, -1.323], [-3.087, 5.680, -1.323], [-1.841, -2.721, 8.673]], "species": ["Nd", "Ho", "Ho", "Ho", "Ho", "Ho", "Ho", "In"], "fractional_positions": [[0.500, 0.500, 0.500], [0.196, 0.196, 0.755], [0.668, 0.232, 0.245], [0.804, 0.804, 0.245], [0.768, 0.332, 0.755], [0.332, 0.768, 0.755], [0.232, 0.668, 0.245], [0.000, 0.000, 0.000]], "magnetic_moment_mub_per_cell": 0.0, "e_above_lowest_polymorph_ev_per_atom": 0.1883, "dos_ef_per_ev_atom": 1.498, "crystal_system": "monoclinic", "spacegroup": "C2/m (12)", "energy_ry_per_atom": -0.315}

---

(6)
{"formula": "Ti4CuNi15", "functional": "PBE", "state": "optimized geometry", "lattice_angstrom": [[-2.400, -2.592, 0.717], [1.344, -1.988, -2.690], [11.573, -7.569, 11.375]], "species": ["Ti", "Ti", "Ti", "Ti", "Cu", "Ni", "Ni", "Ni", "Ni", "Ni", "Ni", "Ni", "Ni", "Ni", "Ni", "Ni", "Ni", "Ni", "Ni", "Ni"], "fractional_positions": [[0.000, 0.000, 0.195], [0.000, 0.000, 0.399], [0.000, 0.000, 0.601], [0.000, 0.000, 0.805], [0.000, 0.000, 0.000], [0.500, 0.500, 0.000], [0.500, 0.500, 0.199], [0.500, 0.500, 0.400], [0.500, 0.500, 0.600], [0.500, 0.500, 0.801], [0.500, 0.000, 0.098], [0.500, 0.000, 0.299], [0.500, 0.000, 0.500], [0.500, 0.000, 0.701], [0.500, 0.000, 0.902], [0.000, 0.500, 0.098], [0.000, 0.500, 0.299], [0.000, 0.500, 0.500], [0.000, 0.500, 0.701], [0.000, 0.500, 0.902]], "magnetic_moment_mub_per_cell": 1.2, "dos_ef_per_ev_atom": 0.674, "crystal_system": "tetragonal", "spacegroup": "P4/mmm (123)", "energy_ry_per_atom": -0.477}

---

(7)
{"formula": "Tm12Ru3Rh5", "functional": "PBE", "state": "optimized geometry", "lattice_angstrom": [[13.923, 0.000, 0.000], [-4.641, 13.127, 0.000], [-4.641, -6.563, 11.368]], "species": ["Ru", "Ru", "Ru", "Ru", "Ru", "Ru", "Ru", "Ru", "Ru", "Ru", "Ru", "Ru", "Rh", "Rh", "Rh", "Rh", "Rh", "Rh", "Rh", "Rh", "Rh", "Rh", "Rh", "Rh", "Rh", "Rh", "Rh", "Rh", "Rh", "Rh", "Rh", "Rh", "Tm", "Tm", "Tm", "Tm", "Tm", "Tm", "Tm", "Tm", "Tm", "Tm", "Tm", "Tm", "Tm", "Tm", "Tm", "Tm", "Tm", "Tm", "Tm", "Tm", "Tm", "Tm", "Tm", "Tm", "Tm", "Tm", "Tm", "Tm", "Tm", "Tm", "Tm", "Tm", "Tm", "Tm", "Tm", "Tm", "Tm", "Tm", "Tm", "Tm", "Tm", "Tm", "Tm", "Tm", "Tm", "Tm", "Tm", "Tm"], "fractional_positions": [[0.750, 0.375, 0.125], [0.875, 0.750, 0.125], [0.375, 0.750, 0.625], [0.250, 0.125, 0.375], [0.875, 0.125, 0.250], [0.375, 0.625, 0.250], [0.625, 0.375, 0.750], [0.125, 0.875, 0.750], [0.750, 0.875, 0.625], [0.625, 0.250, 0.375], [0.125, 0.250, 0.875], [0.250, 0.625, 0.875], [0.125, 0.375, 0.250], [0.000, 0.500, 0.000], [0.000, 0.000, 0.000], [0.375, 0.250, 0.125], [0.500, 0.000, 0.500], [0.500, 0.500, 0.000], [0.125, 0.750, 0.375], [0.750, 0.125, 0.875], [0.750, 0.625, 0.375], [0.375, 0.125, 0.750], [0.625, 0.875, 0.250], [0.500, 0.500, 0.500], [0.500, 0.000, 0.000], [0.000, 0.000, 0.500], [0.250, 0.375, 0.625], [0.250, 0.875, 0.125], [0.000, 0.500, 0.500], [0.875, 0.250, 0.625], [0.625, 0.750, 0.875], [0.875, 0.625, 0.750], [0.722, 0.129, 0.048], [0.326, 0.548, 0.419], [0.952, 0.371, 0.278], [0.548, 0.222, 0.129], [0.593, 0.722, 0.674], [0.952, 0.581, 0.174], [0.326, 0.778, 0.407], [0.081, 0.907, 0.129], [0.581, 0.952, 0.674], [0.722, 0.593, 0.174], [0.778, 0.452, 0.371], [0.826, 0.919, 0.048], [0.129, 0.722, 0.548], [0.371, 0.419, 0.093], [0.093, 0.919, 0.371], [0.407, 0.129, 0.581], [0.093, 0.174, 0.222], [0.452, 0.674, 0.081], [0.826, 0.907, 0.278], [0.129, 0.407, 0.081], [0.371, 0.952, 0.778], [0.581, 0.629, 0.407], [0.919, 0.826, 0.548], [0.778, 0.326, 0.907], [0.419, 0.371, 0.593], [0.081, 0.174, 0.452], [0.222, 0.674, 0.093], [0.174, 0.093, 0.722], [0.629, 0.048, 0.222], [0.871, 0.593, 0.919], [0.548, 0.326, 0.919], [0.593, 0.871, 0.419], [0.907, 0.826, 0.778], [0.907, 0.081, 0.629], [0.871, 0.278, 0.452], [0.174, 0.081, 0.952], [0.629, 0.581, 0.907], [0.419, 0.048, 0.326], [0.278, 0.407, 0.826], [0.222, 0.548, 0.629], [0.919, 0.093, 0.871], [0.674, 0.222, 0.593], [0.452, 0.778, 0.871], [0.048, 0.419, 0.826], [0.407, 0.278, 0.326], [0.048, 0.629, 0.722], [0.674, 0.452, 0.581], [0.278, 0.871, 0.952]], "magnetic_moment_mub_per_cell": 0.0, "dos_ef_per_ev_atom": 0.752, "crystal_system": "cubic", "spacegroup": "Ia-3d (230)", "energy_ry_per_atom": -0.448}

---

(8)
{"formula": "Y2Ga2Tc2C", "functional": "PBE", "state": "optimized geometry", "lattice_angstrom": [[-0.080, -3.635, -0.699], [3.633, -1.104, -4.468], [7.295, -0.323, 0.852]], "species": ["Y", "Y", "Ga", "Ga", "Tc", "Tc", "C"], "fractional_positions": [[0.429, 0.142, 0.713], [0.571, 0.858, 0.287], [0.865, 0.271, 0.339], [0.135, 0.729, 0.661], [0.803, 0.394, 0.932], [0.197, 0.606, 0.068], [0.000, 0.000, 0.000]], "magnetic_moment_mub_per_cell": 0.0, "dos_ef_per_ev_atom": 0.337, "crystal_system": "monoclinic", "spacegroup": "C2/m (12)", "energy_ry_per_atom": -0.552}

---

(9)
{"formula": "LaCuRe3", "functional": "PBE", "state": "optimized geometry", "lattice_angstrom": [[-0.324, -3.822, 2.895], [4.775, -0.524, -0.157], [0.440, 2.866, 3.833]], "species": ["Re", "Re", "Re", "Cu", "La"], "fractional_positions": [[0.000, 0.500, 0.000], [0.000, 0.000, 0.500], [0.500, 0.000, 0.000], [0.500, 0.500, 0.500], [0.000, 0.000, 0.000]], "magnetic_moment_mub_per_cell": 0.0, "e_above_lowest_polymorph_ev_per_atom": 1.6669, "dos_ef_per_ev_atom": 2.012, "crystal_system": "cubic", "spacegroup": "Pm-3m (221)", "energy_ry_per_atom": -0.446}

---

(10)
{"formula": "Y2VIn2", "functional": "PBE", "state": "optimized geometry", "lattice_angstrom": [[7.675, 0.000, 0.000], [0.000, 7.675, 0.000], [0.000, 0.000, 4.396]], "species": ["Y", "Y", "Y", "Y", "In", "In", "In", "In", "V", "V"], "fractional_positions": [[0.171, 0.671, 0.500], [0.671, 0.829, 0.500], [0.829, 0.329, 0.500], [0.329, 0.171, 0.500], [0.365, 0.865, 0.000], [0.865, 0.635, 0.000], [0.635, 0.135, 0.000], [0.135, 0.365, 0.000], [0.000, 0.000, 0.000], [0.500, 0.500, 0.000]], "magnetic_moment_mub_per_cell": 6.9, "dos_ef_per_ev_atom": 1.019, "crystal_system": "tetragonal", "spacegroup": "P4/mbm (127)", "energy_ry_per_atom": -0.413}

---

(11)
{"formula": "BePb2", "functional": "PBE", "state": "optimized geometry", "lattice_angstrom": [[6.941, 0.008, 0.000], [5.300, 4.483, 0.000], [-6.121, -2.245, 2.383]], "species": ["Pb", "Pb", "Be"], "fractional_positions": [[0.133, 0.133, 0.000], [0.867, 0.867, 0.000], [0.500, 0.500, 0.000]], "magnetic_moment_mub_per_cell": 0.0, "e_above_lowest_polymorph_ev_per_atom": 0.1711, "dos_ef_per_ev_atom": 0.458, "crystal_system": "tetragonal", "spacegroup": "I4/mmm (139)", "energy_ry_per_atom": -0.239}

---

(12)
{"formula": "RbTiS2Cl", "functional": "PBE", "state": "optimized geometry", "lattice_angstrom": [[-3.447, -2.994, 1.359], [-0.639, -1.322, -4.532], [3.497, -3.753, 0.602]], "species": ["S", "S", "Cl", "Rb", "Ti"], "fractional_positions": [[0.000, 0.500, 0.000], [0.500, 0.000, 0.000], [0.000, 0.000, 0.500], [0.500, 0.500, 0.500], [0.000, 0.000, 0.000]], "magnetic_moment_mub_per_cell": 0.0, "e_above_lowest_polymorph_ev_per_atom": 0.0000, "dos_ef_per_ev_atom": 0.437, "crystal_system": "tetragonal", "spacegroup": "P4/mmm (123)", "energy_ry_per_atom": -0.374}

---

(13)
{"formula": "GeSbP2", "functional": "PBE", "state": "optimized geometry", "lattice_angstrom": [[-0.855, -0.546, 4.626], [-1.708, 3.617, 2.536], [-4.461, -0.118, 1.586]], "species": ["Sb", "Ge", "P", "P"], "fractional_positions": [[0.500, 0.500, 0.500], [0.000, 0.000, 0.000], [0.250, 0.250, 0.250], [0.750, 0.750, 0.750]], "magnetic_moment_mub_per_cell": 0.0, "e_above_lowest_polymorph_ev_per_atom": 0.2367, "dos_ef_per_ev_atom": 0.588, "crystal_system": "cubic", "spacegroup": "Fm-3m (225)", "energy_ry_per_atom": -0.322}

---

(14)
{"formula": "Co3W", "functional": "PBE", "state": "optimized geometry", "lattice_angstrom": [[4.400, 0.000, 0.000], [0.000, 2.651, 0.000], [-2.200, -1.326, 4.130]], "species": ["Co", "Co", "Co", "W"], "fractional_positions": [[0.986, 0.994, 0.987], [0.590, 0.250, 0.500], [0.499, 0.506, 0.013], [0.092, 0.750, 0.500]], "magnetic_moment_mub_per_cell": 2.8, "dos_ef_per_ev_atom": 1.176, "crystal_system": "orthorhombic", "spacegroup": "Imm2 (44)", "energy_ry_per_atom": -0.621}

---

(15)
{"formula": "Ca3Mg7Zn4", "functional": "PBE", "state": "optimized geometry", "lattice_angstrom": [[-3.556, 2.644, 0.510], [-2.904, -1.703, 8.083], [3.079, 6.800, 5.716]], "species": ["Ca", "Ca", "Ca", "Mg", "Mg", "Mg", "Mg", "Mg", "Mg", "Mg", "Zn", "Zn", "Zn", "Zn"], "fractional_positions": [[0.307, 0.183, 0.202], [0.693, 0.817, 0.798], [0.000, 0.500, 0.500], [0.320, 0.846, 0.515], [0.490, 0.224, 0.796], [0.835, 0.401, 0.928], [0.680, 0.154, 0.485], [0.165, 0.599, 0.072], [0.000, 0.000, 0.000], [0.510, 0.776, 0.204], [0.662, 0.437, 0.239], [0.338, 0.563, 0.761], [0.887, 0.903, 0.324], [0.113, 0.097, 0.676]], "magnetic_moment_mub_per_cell": 0.0, "dos_ef_per_ev_atom": 0.600, "crystal_system": "monoclinic", "spacegroup": "C2/m (12)", "energy_ry_per_atom": -0.128}

---

(16)
{"formula": "TmSc3Pd2", "functional": "PBE", "state": "optimized geometry", "lattice_angstrom": [[-0.734, -5.961, 2.559], [4.984, 1.280, 4.411], [-6.477, 4.695, 0.750]], "species": ["Tm", "Tm", "Sc", "Sc", "Sc", "Sc", "Sc", "Sc", "Pd", "Pd", "Pd", "Pd"], "fractional_positions": [[0.000, 0.500, 0.000], [0.000, 0.000, 0.000], [0.500, 0.250, 0.000], [0.500, 0.750, 0.000], [0.764, 0.014, 0.528], [0.236, 0.486, 0.472], [0.236, 0.986, 0.472], [0.764, 0.514, 0.528], [0.562, 0.357, 0.715], [0.847, 0.143, 0.285], [0.153, 0.857, 0.715], [0.438, 0.643, 0.285]], "magnetic_moment_mub_per_cell": 0.0, "e_above_lowest_polymorph_ev_per_atom": 0.2037, "dos_ef_per_ev_atom": 1.202, "crystal_system": "orthorhombic", "spacegroup": "Ibam (72)", "energy_ry_per_atom": -0.447}

---

(17)
{"formula": "LaAs2", "functional": "PBE", "state": "optimized geometry", "lattice_angstrom": [[-1.950, 3.781, 1.654], [-2.362, -2.767, -2.756], [-1.315, -2.088, 3.223]], "species": ["La", "As", "As"], "fractional_positions": [[0.000, 0.000, 0.500], [0.667, 0.333, 0.000], [0.333, 0.667, 0.000]], "magnetic_moment_mub_per_cell": 0.0, "dos_ef_per_ev_atom": 0.333, "crystal_system": "hexagonal", "spacegroup": "P6/mmm (191)", "energy_ry_per_atom": -0.414}

---

(18)
{"formula": "CaNi2Ge3", "functional": "PBE", "state": "optimized geometry", "lattice_angstrom": [[-2.258, -3.304, 0.742], [7.089, -1.476, 3.833], [-5.321, 5.053, 6.307]], "species": ["Ca", "Ca", "Ca", "Ni", "Ni", "Ni", "Ni", "Ni", "Ni", "Ge", "Ge", "Ge", "Ge", "Ge", "Ge", "Ge", "Ge", "Ge"], "fractional_positions": [[0.152, 0.303, 0.701], [0.848, 0.697, 0.299], [0.000, 0.000, 0.000], [0.203, 0.406, 0.093], [0.797, 0.594, 0.907], [0.494, 0.989, 0.239], [0.506, 0.011, 0.761], [0.355, 0.710, 0.564], [0.645, 0.290, 0.436], [0.050, 0.100, 0.353], [0.950, 0.900, 0.647], [0.225, 0.451, 0.371], [0.775, 0.549, 0.629], [0.635, 0.270, 0.181], [0.365, 0.730, 0.819], [0.500, 0.000, 0.500], [0.351, 0.702, 0.071], [0.649, 0.298, 0.929]], "magnetic_moment_mub_per_cell": 0.0, "e_above_lowest_polymorph_ev_per_atom": 0.0000, "dos_ef_per_ev_atom": 0.337, "crystal_system": "monoclinic", "spacegroup": "C2/m (12)", "energy_ry_per_atom": -0.365}

---

(19)
{"formula": "Ti4Nb2In2C", "functional": "PBE", "state": "optimized geometry", "lattice_angstrom": [[-3.320, 4.348, 2.169], [-2.910, -4.724, -1.960], [3.428, -2.797, 3.879]], "species": ["Ti", "Ti", "Ti", "Ti", "Nb", "Nb", "In", "In", "C"], "fractional_positions": [[0.000, 0.755, 0.245], [0.510, 0.755, 0.755], [0.000, 0.245, 0.755], [0.490, 0.245, 0.245], [0.000, 0.721, 0.721], [0.000, 0.279, 0.279], [0.500, 0.750, 0.250], [0.500, 0.250, 0.750], [0.000, 0.000, 0.000]], "magnetic_moment_mub_per_cell": 0.0, "dos_ef_per_ev_atom": 1.027, "crystal_system": "tetragonal", "spacegroup": "I4/mmm (139)", "energy_ry_per_atom": -0.564}

---

(20)
{"formula": "LiMnRe2", "functional": "PBE", "state": "optimized geometry", "lattice_angstrom": [[4.263, 0.000, 0.000], [0.000, 2.586, -0.013], [0.000, 0.746, 4.905]], "species": ["Li", "Mn", "Re", "Re"], "fractional_positions": [[0.000, 0.539, 0.504], [0.500, 0.705, 0.739], [0.000, 0.017, 0.000], [0.500, 0.238, 0.257]], "magnetic_moment_mub_per_cell": 2.0, "e_above_lowest_polymorph_ev_per_atom": 0.0196, "dos_ef_per_ev_atom": 0.623, "crystal_system": "monoclinic", "spacegroup": "Pm (6)", "energy_ry_per_atom": -0.647}